1.
The following is a DFT calculation (PBE+U) of crystalline Fe10O9F11 at its relaxed geometry.

Cell lengths 4.7252, 15.2898, 4.7283 Å; angles 90.00, 94.17, 90.00 degrees
Sites, in units of the cell vectors:
Fe  0.0000  0.0000  0.0000
Fe  0.0107  0.3982  0.0161
Fe  0.0107  0.6018  0.0161
Fe  0.0466  0.1918  0.0493
Fe  0.0466  0.8082  0.0493
Fe  0.4803  0.1000  0.5758
Fe  0.4803  0.9000  0.5758
Fe  0.5049  0.3058  0.5080
Fe  0.5049  0.6942  0.5080
Fe  0.5147  0.5000  0.5201
O  0.1978  0.0958  0.8470
O  0.1978  0.9042  0.8470
O  0.3138  0.4037  0.3192
O  0.3138  0.5963  0.3192
O  0.3344  0.2002  0.3507
O  0.3344  0.7998  0.3507
O  0.7014  0.0000  0.7193
O  0.7125  0.4010  0.7167
O  0.7125  0.5990  0.7167
F  0.2014  0.5000  0.8287
F  0.2176  0.2989  0.8372
F  0.2176  0.7011  0.8372
F  0.2954  0.0000  0.3314
F  0.7194  0.2029  0.7456
F  0.7194  0.7971  0.7456
F  0.8176  0.0953  0.2187
F  0.8176  0.9047  0.2187
F  0.8230  0.5000  0.2061
F  0.8297  0.2984  0.2224
F  0.8297  0.7016  0.2224

Values from the calculation:
Energy above the most stable polymorph in this dataset ... 0.184 eV/atom
Magnetization ... 0.97 μB per atom
Space group ... Pm (6)
Theoretical density ... 4.44 g cm⁻³

---

2.
The following is a DFT calculation (PBE+U) of crystalline Fe4OF7 at its relaxed geometry.

Cell lengths 5.7733, 4.7742, 10.7167 Å; angles 90.00, 97.76, 90.00 degrees
Sites, in units of the cell vectors:
Fe  0.1067  0.0000  0.1305
Fe  0.1290  0.4912  0.6319
Fe  0.3633  0.9635  0.8746
Fe  0.3785  0.4746  0.3752
Fe  0.6215  0.9746  0.6248
Fe  0.6367  0.4635  0.1254
Fe  0.8710  0.9912  0.3681
Fe  0.8933  0.5000  0.8695
O  0.1369  0.6740  0.8080
O  0.8631  0.1740  0.1920
F  0.0967  0.1898  0.9603
F  0.1083  0.2826  0.4510
F  0.1579  0.7721  0.2891
F  0.3499  0.1648  0.7011
F  0.3534  0.2696  0.2021
F  0.3888  0.7915  0.0566
F  0.3989  0.6799  0.5443
F  0.6011  0.1799  0.4557
F  0.6112  0.2915  0.9434
F  0.6466  0.7696  0.7979
F  0.6501  0.6648  0.2989
F  0.8421  0.2721  0.7109
F  0.8917  0.7826  0.5490
F  0.9033  0.6898  0.0397

Values from the calculation:
Energy above the most stable polymorph in this dataset ... 0.291 eV/atom
Magnetization ... 0.58 μB per atom
Space group ... P2_1 (4)
Theoretical density ... 4.23 g cm⁻³